Entry 1:
# TePbI2Br

Crystalline TePbI2Br at its relaxed geometry (PBE, Alexandria via LeMat-Bulk).

## Properties
**E**: -2.00 eV/atom
**Uncorrected formation energy**: 0.3254 eV/atom
**ΔE to the lowest computed polymorph**: 103 meV/atom

a = 5.6876 Å, b = 5.6876 Å, c = 6.1174 Å
α = 90.00°, β = 90.00°, γ = 90.00°
Space group P4/mmm (No. 123)
Symmetry-distinct sites (fractional):
Te (0.0000, 0.0000, 0.0000)
Pb (0.5000, 0.5000, 0.0000)
I (0.0000, 0.5000, 0.5000)
Br (0.0000, 0.0000, 0.5000)

---

Entry 2:
# Tl2PbI3Br

Crystalline Tl2PbI3Br at its relaxed geometry (PBE, Alexandria via LeMat-Bulk).

## Properties
**E**: -2.74 eV/atom
**Uncorrected formation energy**: -0.6348 eV/atom

a = 5.9400 Å, b = 6.3167 Å, c = 17.6311 Å
α = 90.00°, β = 90.00°, γ = 90.00°
Space group Immm (No. 71)
Symmetry-distinct sites (fractional):
Tl (0.0000, 0.0000, 0.1339)
Pb (0.0000, 0.0000, 0.5000)
I (0.0000, 0.0000, 0.3189)
I (0.0000, 0.5000, 0.5000)
Br (0.0000, 0.5000, 0.0000)

---

Entry 3:
# TlPb2IBr

Crystalline TlPb2IBr at its relaxed geometry (PBE, Alexandria via LeMat-Bulk).

## Properties
**E**: -2.44 eV/atom
**Uncorrected formation energy**: 0.1599 eV/atom

a = 5.6913 Å, b = 5.6913 Å, c = 7.2196 Å
α = 90.00°, β = 90.00°, γ = 90.00°
Space group P4/mmm (No. 123)
Symmetry-distinct sites (fractional):
Tl (0.0000, 0.0000, 0.0000)
Pb (0.0000, 0.5000, 0.5000)
I (0.5000, 0.5000, 0.0000)
Br (0.5000, 0.5000, 0.5000)

---

Entry 4:
# TlPbI2Br

Crystalline TlPbI2Br at its relaxed geometry (PBE, Alexandria via LeMat-Bulk).

## Properties
**E**: -2.79 eV/atom
**Uncorrected formation energy**: -0.6163 eV/atom
**ΔE to the lowest computed polymorph**: 121 meV/atom

a = 6.3476 Å, b = 6.3476 Å, c = 5.8808 Å
α = 90.00°, β = 90.00°, γ = 90.00°
Space group P4/mmm (No. 123)
Symmetry-distinct sites (fractional):
Tl (0.0000, 0.0000, 0.0000)
Pb (0.5000, 0.5000, 0.5000)
I (0.0000, 0.5000, 0.5000)
Br (0.5000, 0.5000, 0.0000)

---

Entry 5:
# TlPbI2Br

Crystalline TlPbI2Br at its relaxed geometry (PBE, Alexandria via LeMat-Bulk).

## Properties
**E**: -2.91 eV/atom
**Uncorrected formation energy**: -0.7369 eV/atom
**ΔE to the lowest computed polymorph**: 0 meV/atom

a = 4.6609 Å, b = 15.5052 Å, c = 11.3116 Å
α = 90.00°, β = 90.00°, γ = 90.00°
Space group Cmcm (No. 63)
Symmetry-distinct sites (fractional):
Tl (0.0000, 0.2292, 0.2500)
Pb (0.0000, 0.5000, 0.0000)
I (0.0000, 0.1413, 0.5566)
Br (0.0000, 0.4246, 0.7500)

---

Entry 6:
# Pd2IBr8

Crystalline Pd2IBr8 at its relaxed geometry (PBE, Alexandria via LeMat-Bulk).

## Properties
**E**: -2.38 eV/atom
**Uncorrected formation energy**: -0.0809 eV/atom

a = 8.4890 Å, b = 9.4102 Å, c = 11.0965 Å
α = 90.00°, β = 100.39°, γ = 90.00°
Space group C2/m (No. 12)
Symmetry-distinct sites (fractional):
Pd (0.0685, 0.0000, 0.3531)
I (0.0000, 0.0000, 0.0000)
Br (0.0407, 0.1932, 0.8227)
Br (0.1622, 0.5000, 0.6927)
Br (0.1913, 0.0000, 0.5739)

---

Entry 7:
# Pd3IBr

Crystalline Pd3IBr at its relaxed geometry (PBE, Alexandria via LeMat-Bulk).

## Properties
**E**: -3.23 eV/atom
**Uncorrected formation energy**: 0.5259 eV/atom
**ΔE to the lowest computed polymorph**: 48 meV/atom

a = 5.0820 Å, b = 5.0820 Å, c = 5.0820 Å
α = 90.00°, β = 90.00°, γ = 90.00°
Space group Pm-3m (No. 221)
Symmetry-distinct sites (fractional):
Pd (0.0000, 0.0000, 0.5000)
I (0.0000, 0.0000, 0.0000)
Br (0.5000, 0.5000, 0.5000)

---

Entry 8:
# PdI2Br5

Crystalline PdI2Br5 at its relaxed geometry (PBE, Alexandria via LeMat-Bulk).

## Properties
**E**: -2.19 eV/atom
**Uncorrected formation energy**: -0.1041 eV/atom

a = 6.7855 Å, b = 8.1887 Å, c = 8.8162 Å
α = 83.52°, β = 84.24°, γ = 87.13°
Space group P1 (No. 1)
Symmetry-distinct sites (fractional):
Pd (0.0000, 0.0000, 0.0000)
I (0.2472, 0.4869, 0.0427)
I (0.9765, 0.9919, 0.5019)
Br (0.0916, 0.8436, 0.7749)
Br (0.1751, 0.7806, 0.1656)
Br (0.3264, 0.1896, 0.9439)
Br (0.7903, 0.1993, 0.8571)
Br (0.8469, 0.1272, 0.2314)